(1)
VASP calculation (PBE) on a geometry-optimized Dy2Er7Sc2 structure.

The calculation puts the energy of formation from the pure elements at 0.17 eV per atom.

It has space group Imm2 (No. 44), with a = 3.576 Å, b = 17.442 Å, c = 10.831 Å, α = 90.00°, β = 90.00° and γ = 90.00°. The asymmetric unit holds Dy at (0.000, 0.000, 0.000), Dy at (0.000, 0.500, 0.195), Er at (0.000, 0.000, 0.338), Er at (0.000, 0.154, 0.838), Er at (0.000, 0.310, 0.078), Er at (0.000, 0.361, 0.618) and Sc at (0.000, 0.193, 0.335).

---

(2)
VASP calculation (PBE) on a geometry-optimized Li3In4Sn structure.

The calculation puts the energy of formation from the pure elements at -0.19 eV per atom.

It has space group C2/m (No. 12), with a = 19.735 Å, b = 3.525 Å, c = 5.205 Å, α = 90.00°, β = 99.99° and γ = 90.00°. The asymmetric unit holds Li at (0.000, 0.000, 0.000), Li at (0.120, 0.000, 0.489), In at (0.120, 0.500, 0.003), In at (0.247, 0.500, 0.740) and Sn at (0.000, 0.500, 0.500).

---

(3)
VASP calculation (PBE) on a geometry-optimized Sm2Au2O5 structure.

The calculation puts the uncorrected formation energy at -1.3527 eV/atom.

It has space group P4/mmm (No. 123), with a = 4.217 Å, b = 4.217 Å, c = 7.157 Å, α = 90.00°, β = 90.00° and γ = 90.00°. The asymmetric unit holds Sm at (0.000, 0.000, 0.000), Sm at (0.000, 0.000, 0.500), Au at (0.500, 0.500, 0.192), O at (0.000, 0.500, 0.223) and O at (0.500, 0.500, 0.500).

---

(4)
VASP calculation (PBE) on a geometry-optimized Pm2Nd13 structure.

The calculation puts the energy of formation from the pure elements at 0.05 eV per atom.

It has space group P-1 (No. 2), with a = 6.825 Å, b = 9.203 Å, c = 9.203 Å, α = 66.62°, β = 82.44° and γ = 82.42°. The asymmetric unit holds Pm at (0.100, 0.268, 0.432), Nd at (0.000, 0.500, 0.000), Nd at (0.100, 0.934, 0.766), Nd at (0.199, 0.699, 0.201), Nd at (0.300, 0.132, 0.968), Nd at (0.301, 0.466, 0.634), Nd at (0.399, 0.900, 0.401) and Nd at (0.500, 0.333, 0.167).

---

| no. | size of the total moment (Bohr magnetons per cell) | Fermi-level density of states (states/eV per cell) |
| --- | --- | --- |
| 1 | 0.00 | 26.4 |
| 2 | 0.00 | 5.1 |
| 3 | 0.00 | 1.5 |
| 4 | 0.00 | 22.8 |